(1)
# Y3Ga9Ru2 | the Alexandria database | PBE | relaxed
data_Y3Ga9Ru2
_chemical_formula_sum 'Y3 Ga9 Ru2'
_space_group_name_H-M_alt 'P 1'
_space_group_IT_number 1
_cell_length_a 4.254
_cell_length_b 8.136
_cell_length_c 8.136
_cell_angle_alpha 71.19
_cell_angle_beta 74.85
_cell_angle_gamma 74.85
loop_
_space_group_symop_operation_xyz
'x,y,z'
loop_
_atom_site_label
_atom_site_type_symbol
_atom_site_fract_x
_atom_site_fract_y
_atom_site_fract_z
_atom_site_occupancy
Ga1 Ga 0.653 0.711 0.983 1
Ga2 Ga 0.868 0.415 0.848 1
Y1 Y 0.300 0.700 0.700 1
Ga3 Ga 0.868 0.848 0.415 1
Y2 Y 0.000 0.000 0.000 1
Ga4 Ga 0.132 0.585 0.152 1
Ru1 Ru 0.500 0.325 0.675 1
Ga5 Ga 0.132 0.152 0.585 1
Ru2 Ru 0.500 0.675 0.325 1
Ga6 Ga 0.653 0.983 0.711 1
Ga7 Ga 0.347 0.289 0.017 1
Ga8 Ga 0.347 0.017 0.289 1
Y3 Y 0.700 0.300 0.300 1
Ga9 Ga 0.000 0.500 0.500 1
# **Size of the total moment**: 0.00 μB per cell
# **Total DFT energy (no corrections)**: -73.3 eV/f.u.
# **Fermi-level density of states**: 5.5 states/eV/cell
# **Energy of formation**: -0.580 eV/atom

=====

(2)
# Y12Ga6Ru | the Alexandria database | PBE | relaxed
data_Y12Ga6Ru
_chemical_formula_sum 'Y12 Ga6 Ru1'
_space_group_name_H-M_alt 'P 1'
_space_group_IT_number 1
_cell_length_a 8.404
_cell_length_b 8.404
_cell_length_c 8.404
_cell_angle_alpha 99.29
_cell_angle_beta 99.29
_cell_angle_gamma 99.29
loop_
_space_group_symop_operation_xyz
'x,y,z'
loop_
_atom_site_label
_atom_site_type_symbol
_atom_site_fract_x
_atom_site_fract_y
_atom_site_fract_z
_atom_site_occupancy
Ga1 Ga 0.380 0.697 0.865 1
Y1 Y 0.960 0.316 0.072 1
Ga2 Ga 0.303 0.135 0.620 1
Y2 Y 0.040 0.684 0.928 1
Ga3 Ga 0.620 0.303 0.135 1
Y3 Y 0.072 0.960 0.316 1
Y4 Y 0.684 0.928 0.040 1
Ru1 Ru 0.000 0.000 0.000 1
Y5 Y 0.568 0.182 0.428 1
Y6 Y 0.428 0.568 0.182 1
Ga4 Ga 0.135 0.620 0.303 1
Y7 Y 0.818 0.572 0.432 1
Y8 Y 0.182 0.428 0.568 1
Y9 Y 0.316 0.072 0.960 1
Ga5 Ga 0.697 0.865 0.380 1
Y10 Y 0.432 0.818 0.572 1
Ga6 Ga 0.865 0.380 0.697 1
Y11 Y 0.928 0.040 0.684 1
Y12 Y 0.572 0.432 0.818 1
# **Size of the total moment**: 0.00 μB per cell
# **Total DFT energy (no corrections)**: -109.8 eV/f.u.
# **Fermi-level density of states**: 19.4 states/eV/cell
# **Energy of formation**: -0.254 eV/atom

=====

(3)
# YGaRu | the Alexandria database | PBE | relaxed
data_YGaRu
_chemical_formula_sum 'Y1 Ga1 Ru1'
_space_group_name_H-M_alt 'P 1'
_space_group_IT_number 1
_cell_length_a 3.345
_cell_length_b 3.345
_cell_length_c 5.573
_cell_angle_alpha 107.47
_cell_angle_beta 107.47
_cell_angle_gamma 90.00
loop_
_space_group_symop_operation_xyz
'x,y,z'
loop_
_atom_site_label
_atom_site_type_symbol
_atom_site_fract_x
_atom_site_fract_y
_atom_site_fract_z
_atom_site_occupancy
Ga1 Ga 0.647 0.647 0.294 1
Ru1 Ru 0.259 0.259 0.518 1
Y1 Y 0.944 0.944 0.887 1
# **Size of the total moment**: 0.00 μB per cell
# **Total DFT energy (no corrections)**: -20.1 eV/f.u.
# **Fermi-level density of states**: 0.6 states/eV/cell
# **Energy of formation**: -0.459 eV/atom

=====

(4)
# Y3Ga8Ru3 | the Alexandria database | PBE | relaxed
data_Y3Ga8Ru3
_chemical_formula_sum 'Y3 Ga8 Ru3'
_space_group_name_H-M_alt 'P 1'
_space_group_IT_number 1
_cell_length_a 4.208
_cell_length_b 8.233
_cell_length_c 8.233
_cell_angle_alpha 72.56
_cell_angle_beta 75.19
_cell_angle_gamma 75.19
loop_
_space_group_symop_operation_xyz
'x,y,z'
loop_
_atom_site_label
_atom_site_type_symbol
_atom_site_fract_x
_atom_site_fract_y
_atom_site_fract_z
_atom_site_occupancy
Ga1 Ga 0.171 0.464 0.195 1
Ga2 Ga 0.619 0.667 0.095 1
Y1 Y 0.167 0.833 0.833 1
Y2 Y 0.833 0.167 0.167 1
Ru1 Ru 0.000 0.229 0.771 1
Ga3 Ga 0.829 0.536 0.805 1
Ru2 Ru 0.000 0.771 0.229 1
Ga4 Ga 0.619 0.095 0.667 1
Y3 Y 0.500 0.500 0.500 1
Ga5 Ga 0.829 0.805 0.536 1
Ga6 Ga 0.381 0.905 0.333 1
Ga7 Ga 0.381 0.333 0.905 1
Ga8 Ga 0.171 0.195 0.464 1
Ru3 Ru 0.500 0.000 0.000 1
# **Size of the total moment**: 0.00 μB per cell
# **Total DFT energy (no corrections)**: -79.0 eV/f.u.
# **Fermi-level density of states**: 6.9 states/eV/cell
# **Energy of formation**: -0.543 eV/atom